Material: CsNdVO4
Method: DFT, PBE+U
State: optimized geometry

a = 6.145 Å, b = 6.097 Å, c = 8.089 Å
α = 90.00°, β = 107.50°, γ = 90.00°
Each line ends with the local moment (μB).
Fractional positions:
O  0.055  0.528  0.337  0.01
O  0.945  0.472  0.663  0.01
O  0.448  0.750  0.211  -0.03
O  0.945  0.028  0.663  0.01
O  0.536  0.250  0.435  -0.04
O  0.055  0.972  0.337  0.01
O  0.552  0.250  0.789  -0.03
O  0.464  0.750  0.565  -0.04
Nd  0.189  0.250  0.543  0.01
Nd  0.811  0.750  0.457  0.01
Cs  0.284  0.250  0.064  0.00
Cs  0.716  0.750  0.936  0.00
V  0.723  0.250  0.646  0.97
V  0.277  0.750  0.354  0.97

Calculated values
E: -7.11 eV/atom